i | A plane-wave DFT calculation with PBE-GGA was carried out for CuBOsW after structural relaxation. Values from VASP.

SG ... F-43m, No. 216

Cell and atoms, written as Quantum ESPRESSO input:
```
&SYSTEM
  ibrav = 0, nat = 4, ntyp = 4
/
ATOMIC_SPECIES
Cu 63.55 Cu.upf
B 10.81 B.upf
Os 190.23 Os.upf
W 183.84 W.upf
CELL_PARAMETERS angstrom
0.000 2.940 2.940
2.940 0.000 2.940
2.940 2.940 0.000
ATOMIC_POSITIONS angstrom
Cu 0.000 0.000 0.000
B 4.410 4.410 4.410
Os 2.940 2.940 2.940
W 1.470 1.470 1.470
```

ii | A plane-wave DFT calculation with PBE-GGA was carried out for CuBOsW after structural relaxation. Values from VASP.

SG ... F-43m, No. 216

Cell and atoms, written as Quantum ESPRESSO input:
```
&SYSTEM
  ibrav = 0, nat = 4, ntyp = 4
/
ATOMIC_SPECIES
Cu 63.55 Cu.upf
B 10.81 B.upf
Os 190.23 Os.upf
W 183.84 W.upf
CELL_PARAMETERS angstrom
0.000 2.884 2.884
2.884 0.000 2.884
2.884 2.884 0.000
ATOMIC_POSITIONS angstrom
Cu 0.000 0.000 0.000
B 2.884 2.884 2.884
Os 4.327 4.327 4.327
W 1.442 1.442 1.442
```

Energy above the most stable structure, in kJ/mol of atoms: i 14.8; ii 0.0

i | A plane-wave DFT calculation with PBE-GGA was carried out for NdGdNO after structural relaxation. Values from VASP.

SG ... Pca2_1, No. 29

Cell and atoms, written as Quantum ESPRESSO input:
```
&SYSTEM
  ibrav = 0, nat = 16, ntyp = 4
/
ATOMIC_SPECIES
Nd 144.24 Nd.upf
Gd 157.25 Gd.upf
N 14.01 N.upf
O 16.00 O.upf
CELL_PARAMETERS angstrom
6.780 0.000 0.000
0.000 8.260 0.000
0.000 0.000 5.119
ATOMIC_POSITIONS angstrom
Nd 0.543 1.065 0.000
Nd 2.847 1.065 2.559
Nd 3.933 7.195 0.000
Nd 6.237 7.195 2.559
Gd 0.502 5.125 0.003
Gd 2.888 5.125 2.562
Gd 3.893 3.135 0.003
Gd 6.278 3.135 2.562
N 0.444 1.094 2.554
N 2.946 1.094 5.114
N 3.834 7.167 2.554
N 6.336 7.167 5.114
O 0.646 5.128 2.566
O 2.745 5.128 0.007
O 4.036 3.132 2.566
O 6.135 3.132 0.007
```

ii | A plane-wave DFT calculation with PBE-GGA was carried out for NdGdNO after structural relaxation. Values from VASP.

SG ... P4/nmm, No. 129

Cell and atoms, written as Quantum ESPRESSO input:
```
&SYSTEM
  ibrav = 0, nat = 8, ntyp = 4
/
ATOMIC_SPECIES
Nd 144.24 Nd.upf
Gd 157.25 Gd.upf
N 14.01 N.upf
O 16.00 O.upf
CELL_PARAMETERS angstrom
4.327 0.000 0.000
0.000 4.327 0.000
0.000 0.000 7.946
ATOMIC_POSITIONS angstrom
Nd 1.082 3.245 0.000
Nd 3.245 1.082 0.000
Gd 1.082 1.082 3.169
Gd 3.245 3.245 4.778
N 1.082 1.082 6.778
N 3.245 3.245 1.169
O 1.082 3.245 3.973
O 3.245 1.082 3.973
```

Energy above the most stable structure, in kJ/mol of atoms: i 0.0; ii 46.8

i | A plane-wave DFT calculation with PBE-GGA was carried out for Cu7Ag3 after structural relaxation. Values from VASP.

SG ... P2/m, No. 10

Cell and atoms, written as Quantum ESPRESSO input:
```
&SYSTEM
  ibrav = 0, nat = 10, ntyp = 2
/
ATOMIC_SPECIES
Cu 63.55 Cu.upf
Ag 107.87 Ag.upf
CELL_PARAMETERS angstrom
4.611 0.000 0.000
0.000 2.741 0.000
-1.130 0.000 10.843
ATOMIC_POSITIONS angstrom
Cu 0.000 0.000 0.000
Cu -0.500 1.370 8.758
Cu 0.912 1.370 4.242
Cu 1.550 0.000 2.187
Cu 1.931 0.000 8.656
Cu 2.570 1.370 6.601
Cu 3.981 1.370 2.086
Ag 0.282 0.000 6.551
Ag 2.306 1.370 0.000
Ag 3.200 0.000 4.292
```

ii | A plane-wave DFT calculation with PBE-GGA was carried out for Cu7Ag3 after structural relaxation. Values from VASP.

SG ... Cm, No. 8

Cell and atoms, written as Quantum ESPRESSO input:
```
&SYSTEM
  ibrav = 0, nat = 10, ntyp = 2
/
ATOMIC_SPECIES
Cu 63.55 Cu.upf
Ag 107.87 Ag.upf
CELL_PARAMETERS angstrom
4.450 -1.364 0.000
4.450 1.364 0.000
-2.151 0.000 11.342
ATOMIC_POSITIONS angstrom
Cu 0.000 0.000 0.000
Cu -0.478 0.000 7.574
Cu 2.529 0.000 1.112
Cu 3.404 0.000 5.493
Cu 4.990 0.000 2.028
Cu 5.912 0.000 6.556
Cu 7.501 0.000 3.171
Ag 0.998 0.000 4.304
Ag 1.957 0.000 8.809
Ag 4.333 0.000 10.163
```

Energy above the most stable structure, in kJ/mol of atoms: i 0.8; ii 0.0

i | A plane-wave DFT calculation with PBE-GGA was carried out for RbIrNO after structural relaxation. Values from VASP.

SG ... Pmc2_1, No. 26

Cell and atoms, written as Quantum ESPRESSO input:
```
&SYSTEM
  ibrav = 0, nat = 8, ntyp = 4
/
ATOMIC_SPECIES
Rb 85.47 Rb.upf
Ir 192.22 Ir.upf
N 14.01 N.upf
O 16.00 O.upf
CELL_PARAMETERS angstrom
3.865 0.000 0.000
0.000 6.106 0.000
0.000 0.000 6.557
ATOMIC_POSITIONS angstrom
Rb 0.000 1.044 0.000
Rb 0.000 5.062 3.278
Ir 1.933 2.308 3.465
Ir 1.933 3.798 0.186
N 1.933 2.755 1.687
N 1.933 3.351 4.965
O 0.000 1.724 3.597
O 0.000 4.382 0.319
```

ii | A plane-wave DFT calculation with PBE-GGA was carried out for RbIrNO after structural relaxation. Values from VASP.

SG ... Pca2_1, No. 29

Cell and atoms, written as Quantum ESPRESSO input:
```
&SYSTEM
  ibrav = 0, nat = 16, ntyp = 4
/
ATOMIC_SPECIES
Rb 85.47 Rb.upf
Ir 192.22 Ir.upf
N 14.01 N.upf
O 16.00 O.upf
CELL_PARAMETERS angstrom
5.945 0.000 0.000
0.000 8.923 0.000
0.000 0.000 5.223
ATOMIC_POSITIONS angstrom
Rb 0.498 1.422 0.000
Rb 2.474 1.422 2.611
Rb 3.471 7.501 0.000
Rb 5.446 7.501 2.611
Ir 0.726 5.609 0.017
Ir 2.246 5.609 2.628
Ir 3.699 3.315 0.017
Ir 5.218 3.315 2.628
N 0.491 7.329 5.209
N 2.481 7.329 2.597
N 3.464 1.594 5.209
N 5.453 1.594 2.597
O 0.787 4.292 3.574
O 2.185 4.292 0.962
O 3.759 4.631 3.574
O 5.158 4.631 0.962
```

Energy above the most stable structure, in kJ/mol of atoms: i 0.0; ii 25.1

i | A plane-wave DFT calculation with PBE-GGA was carried out for Cu2Ag3 after structural relaxation. Values from VASP.

SG ... Cmmm, No. 65

Cell and atoms, written as Quantum ESPRESSO input:
```
&SYSTEM
  ibrav = 0, nat = 10, ntyp = 2
/
ATOMIC_SPECIES
Cu 63.55 Cu.upf
Ag 107.87 Ag.upf
CELL_PARAMETERS angstrom
1.973 -9.922 0.000
1.973 9.922 0.000
0.000 0.000 3.968
ATOMIC_POSITIONS angstrom
Cu 1.973 7.849 0.000
Cu 1.973 5.927 1.984
Cu 1.973 -5.927 1.984
Cu 1.973 -7.849 0.000
Ag 0.000 0.000 1.984
Ag 1.973 3.990 0.000
Ag 1.973 2.061 1.984
Ag 1.973 0.000 0.000
Ag 1.973 -2.061 1.984
Ag 1.973 -3.990 0.000
```

ii | A plane-wave DFT calculation with PBE-GGA was carried out for Cu2Ag3 after structural relaxation. Values from VASP.

SG ... P4/mmm, No. 123

Cell and atoms, written as Quantum ESPRESSO input:
```
&SYSTEM
  ibrav = 0, nat = 10, ntyp = 2
/
ATOMIC_SPECIES
Cu 63.55 Cu.upf
Ag 107.87 Ag.upf
CELL_PARAMETERS angstrom
2.886 0.000 0.000
0.000 2.886 0.000
0.000 0.000 18.585
ATOMIC_POSITIONS angstrom
Cu 0.000 0.000 0.000
Cu 0.000 0.000 7.850
Cu 0.000 0.000 10.734
Cu 1.443 1.443 9.292
Ag 0.000 0.000 3.917
Ag 0.000 0.000 14.668
Ag 1.443 1.443 1.799
Ag 1.443 1.443 6.038
Ag 1.443 1.443 12.547
Ag 1.443 1.443 16.786
```

Energy above the most stable structure, in kJ/mol of atoms: i 4.4; ii 0.0

i | A plane-wave DFT calculation with PBE-GGA was carried out for Cu2Ag after structural relaxation. Values from VASP.

SG ... I4mm, No. 107

Cell and atoms, written as Quantum ESPRESSO input:
```
&SYSTEM
  ibrav = 0, nat = 9, ntyp = 2
/
ATOMIC_SPECIES
Cu 63.55 Cu.upf
Ag 107.87 Ag.upf
CELL_PARAMETERS angstrom
-1.379 1.379 16.462
1.379 -1.379 16.462
1.379 1.379 -16.462
ATOMIC_POSITIONS angstrom
Cu 0.000 0.000 0.000
Cu 0.000 0.000 3.214
Cu 0.000 0.000 7.100
Cu 0.000 0.000 10.952
Cu 0.000 0.000 18.076
Cu 0.000 0.000 29.004
Ag 0.000 0.000 14.500
Ag 0.000 0.000 21.621
Ag 0.000 0.000 25.488
```

ii | A plane-wave DFT calculation with PBE-GGA was carried out for Cu2Ag after structural relaxation. Values from VASP.

SG ... Imm2, No. 44

Cell and atoms, written as Quantum ESPRESSO input:
```
&SYSTEM
  ibrav = 0, nat = 9, ntyp = 2
/
ATOMIC_SPECIES
Cu 63.55 Cu.upf
Ag 107.87 Ag.upf
CELL_PARAMETERS angstrom
-1.906 4.053 4.053
1.906 -4.053 4.053
1.906 4.053 -4.053
ATOMIC_POSITIONS angstrom
Cu 0.000 0.000 0.000
Cu 1.906 1.255 1.239
Cu 0.000 0.000 2.512
Cu 1.906 -1.341 3.896
Cu 1.906 1.341 3.896
Cu 0.000 2.798 5.292
Ag 0.000 0.000 5.183
Ag 0.000 2.628 2.623
Ag 0.000 5.477 2.623
```

Energy above the most stable structure, in kJ/mol of atoms: i 0.0; ii 0.5

i | A plane-wave DFT calculation with PBE-GGA was carried out for PrMg after structural relaxation. Values from VASP.

SG ... Pmc2_1, No. 26

Cell and atoms, written as Quantum ESPRESSO input:
```
&SYSTEM
  ibrav = 0, nat = 12, ntyp = 2
/
ATOMIC_SPECIES
Pr 140.91 Pr.upf
Mg 24.30 Mg.upf
CELL_PARAMETERS angstrom
5.504 0.000 0.000
0.000 10.186 0.000
0.000 0.000 6.348
ATOMIC_POSITIONS angstrom
Pr 0.000 0.690 0.000
Pr 0.000 4.047 0.516
Pr 0.000 6.140 3.690
Pr 0.000 9.497 3.174
Pr 2.752 4.123 4.777
Pr 2.752 6.064 1.603
Mg 0.000 2.607 3.515
Mg 0.000 7.580 0.341
Mg 2.752 0.835 4.438
Mg 2.752 2.317 1.621
Mg 2.752 7.869 4.795
Mg 2.752 9.351 1.264
```

ii | A plane-wave DFT calculation with PBE-GGA was carried out for PrMg after structural relaxation. Values from VASP.

SG ... Amm2, No. 38

Cell and atoms, written as Quantum ESPRESSO input:
```
&SYSTEM
  ibrav = 0, nat = 10, ntyp = 2
/
ATOMIC_SPECIES
Pr 140.91 Pr.upf
Mg 24.30 Mg.upf
CELL_PARAMETERS angstrom
5.350 0.000 0.000
0.000 10.411 2.676
0.000 -10.411 2.676
ATOMIC_POSITIONS angstrom
Pr 0.000 0.000 0.000
Pr 0.000 -6.366 2.689
Pr 0.000 6.366 2.689
Pr 2.675 -3.844 2.696
Pr 2.675 3.844 2.696
Mg 0.000 -1.860 2.678
Mg 0.000 1.860 2.678
Mg 2.675 -8.558 2.700
Mg 2.675 0.000 2.690
Mg 2.675 8.558 2.700
```

Energy above the most stable structure, in kJ/mol of atoms: i 4.7; ii 0.0

i | A plane-wave DFT calculation with PBE-GGA was carried out for LiHfGaNi after structural relaxation. Values from VASP.

SG ... F-43m, No. 216

Cell and atoms, written as Quantum ESPRESSO input:
```
&SYSTEM
  ibrav = 0, nat = 4, ntyp = 4
/
ATOMIC_SPECIES
Li 6.94 Li.upf
Hf 178.49 Hf.upf
Ga 69.72 Ga.upf
Ni 58.69 Ni.upf
CELL_PARAMETERS angstrom
0.000 3.117 3.117
3.117 0.000 3.117
3.117 3.117 0.000
ATOMIC_POSITIONS angstrom
Li 0.000 0.000 0.000
Hf 3.117 3.117 3.117
Ga 4.675 4.675 4.675
Ni 1.558 1.558 1.558
```

ii | A plane-wave DFT calculation with PBE-GGA was carried out for LiHfGaNi after structural relaxation. Values from VASP.

SG ... F-43m, No. 216

Cell and atoms, written as Quantum ESPRESSO input:
```
&SYSTEM
  ibrav = 0, nat = 4, ntyp = 4
/
ATOMIC_SPECIES
Li 6.94 Li.upf
Hf 178.49 Hf.upf
Ga 69.72 Ga.upf
Ni 58.69 Ni.upf
CELL_PARAMETERS angstrom
0.000 3.038 3.038
3.038 0.000 3.038
3.038 3.038 0.000
ATOMIC_POSITIONS angstrom
Li 0.000 0.000 0.000
Hf 4.556 4.556 4.556
Ga 1.519 1.519 1.519
Ni 3.038 3.038 3.038
```

Energy above the most stable structure, in kJ/mol of atoms: i 18.7; ii 0.0